# 1
Density functional theory data (PBE) for ErMgPd after structural relaxation.

Lattice parameters (Å, degrees): 4.977 4.977 5.814 90.00 90.00 117.30
Atoms (fractional coordinates):
Er 0.158 0.842 0.750
Er 0.842 0.158 0.250
Mg 0.500 0.500 0.000
Mg 0.500 0.500 0.500
Pd 0.185 0.815 0.250
Pd 0.815 0.185 0.750

The calculation puts the energy of formation from the pure elements at -617 meV/atom. Its total energy is -4.400 eV per atom. The total magnetization is 0.0 μB per formula unit.



# 2
Density functional theory data (PBE) for ZrTi2Ru2 after structural relaxation.

Lattice parameters (Å, degrees): 7.432 7.432 3.045 90.00 90.00 90.00
Atoms (fractional coordinates):
Zr 0.000 0.000 0.000
Zr 0.500 0.500 0.000
Ti 0.148 0.352 0.500
Ti 0.352 0.852 0.500
Ti 0.648 0.148 0.500
Ti 0.852 0.648 0.500
Ru 0.144 0.644 0.000
Ru 0.356 0.144 0.000
Ru 0.644 0.856 0.000
Ru 0.856 0.356 0.000

The value obtained for the offset from the most stable computed form is 0 meV per atom. The calculation puts the energy of formation from the pure elements at -346 meV/atom. Its total energy is -8.924 eV per atom. The total magnetization is 0.0 μB per formula unit.



# 3
Density functional theory data (PBE) for Cs2VSbCl6 after structural relaxation.

Lattice parameters (Å, degrees): 7.989 7.989 7.989 125.83 125.83 80.16
Atoms (fractional coordinates):
Cs 0.250 0.750 0.500
Cs 0.750 0.250 0.500
V 0.000 0.000 0.000
Sb 0.500 0.500 0.000
Cl 0.199 0.199 0.000
Cl 0.241 0.241 0.483
Cl 0.241 0.759 0.000
Cl 0.759 0.241 0.000
Cl 0.759 0.759 0.517
Cl 0.801 0.801 0.000

Its total energy is -3.891 eV per atom. The total magnetization is 2.0 μB per formula unit.